Below is AcHg3Pd after structural relaxation, with properties calculated at the GGA-PBE level.

Summary:
Relative energy among the computed polymorphs = 216.1 meV per atom
Calculated volume = 142 Å³/cell
E_tot = -11.26 eV per cell
ΔE_f = -0.210 eV per atom
Density = 10.9 Mg/m³

Geometry as CIF:
```
data_AcHg3Pd
_space_group_name_H-M_alt 'P m -3 m'
_space_group_IT_number 221
_space_group_name_Hall '-P 4 2 3'
_cell_length_a 5.2190
_cell_length_b 5.2190
_cell_length_c 5.2190
_cell_angle_alpha 90.00
_cell_angle_beta 90.00
_cell_angle_gamma 90.00
loop_
_atom_site_label
_atom_site_fract_x
_atom_site_fract_y
_atom_site_fract_z
Ac1 0.0000 0.0000 0.0000
Hg1 0.0000 0.5000 0.5000
Pd1 0.5000 0.5000 0.5000
```



Below is NbSi2Ni3 after structural relaxation, with properties calculated at the GGA-PBE level.

Summary:
Calculated volume = 458 Å³/cell
Uncorrected formation energy = -0.552 eV per atom
E_tot = -249.44 eV per cell
Density = 7.1 Mg/m³

Geometry as CIF:
```
data_NbSi2Ni3
_space_group_name_H-M_alt 'C 1 2/m 1'
_space_group_IT_number 12
_cell_length_a 14.9459
_cell_length_b 3.6265
_cell_length_c 8.8893
_cell_angle_alpha 90.00
_cell_angle_beta 108.02
_cell_angle_gamma 90.00
loop_
_space_group_symop_operation_xyz
'x,y,z'
'-x,-y,-z'
'-x,y,-z'
'x,-y,z'
'x+1/2,y+1/2,z'
'-x+1/2,-y+1/2,-z'
'-x+1/2,y+1/2,-z'
'x+1/2,-y+1/2,z'
loop_
_atom_site_label
_atom_site_fract_x
_atom_site_fract_y
_atom_site_fract_z
Nb1 0.0000 0.0000 0.0000
Nb2 0.1507 0.0000 0.6963
Si1 0.0386 0.5000 0.7927
Si2 0.1386 0.5000 0.4607
Si3 0.1976 0.0000 0.1344
Ni1 0.0000 0.5000 0.5000
Ni2 0.0395 0.0000 0.3408
Ni3 0.1206 0.5000 0.2009
Ni4 0.1828 0.5000 0.9703
Ni5 0.2146 0.0000 0.3946
```



Below is GaIrRh3 after structural relaxation, with properties calculated at the GGA-PBE level.

Summary:
Relative energy among the computed polymorphs = 1373.3 meV per atom
Calculated volume = 107 Å³/cell
E_tot = -28.04 eV per cell
ΔE_f = 1.181 eV per atom
Density = 8.9 Mg/m³

Geometry as CIF:
```
data_GaIrRh3
_space_group_name_H-M_alt 'P m -3 m'
_space_group_IT_number 221
_space_group_name_Hall '-P 4 2 3'
_cell_length_a 4.7414
_cell_length_b 4.7414
_cell_length_c 4.7414
_cell_angle_alpha 90.00
_cell_angle_beta 90.00
_cell_angle_gamma 90.00
loop_
_atom_site_label
_atom_site_fract_x
_atom_site_fract_y
_atom_site_fract_z
Ga1 0.0000 0.0000 0.0000
Ir1 0.5000 0.5000 0.5000
Rh1 0.0000 0.5000 0.5000
```



Below is SrP2RuRh after structural relaxation, with properties calculated at the GGA-PBE level.

Summary:
Calculated volume = 187 Å³/cell
E_tot = -67.88 eV per cell
ΔE_f = -0.962 eV per atom
Density = 6.3 Mg/m³

Geometry as CIF:
```
data_SrP2RuRh
_space_group_name_H-M_alt 'I -4 m 2'
_space_group_IT_number 119
_space_group_name_Hall 'I -4 -2'
_cell_length_a 3.9961
_cell_length_b 3.9961
_cell_length_c 11.7322
_cell_angle_alpha 90.00
_cell_angle_beta 90.00
_cell_angle_gamma 90.00
loop_
_atom_site_label
_atom_site_fract_x
_atom_site_fract_y
_atom_site_fract_z
Sr1 0.0000 0.0000 0.0000
P1 0.0000 0.0000 0.3550
Ru1 0.0000 0.5000 0.7500
Rh1 0.0000 0.5000 0.2500
```